First-principles (PBEsol) data for an optimized crystal structure of AlGaPt3, as listed in Alexandria.

Unit cell a=4.5360 b=4.5360 c=4.5360 alpha=90.00 beta=90.00 gamma=90.00
Closest atoms and distances in Å follow each position.
Atoms (fractional coordinates):
Al: 0.0000 0.0000 0.0000  12 Pt 3.21
Ga: 0.5000 0.5000 0.5000  6 Pt 2.27
Pt: 0.0000 0.5000 0.5000  2 Ga 2.27
Pt: 0.5000 0.0000 0.5000  2 Ga 2.27
Pt: 0.5000 0.5000 0.0000  2 Ga 2.27

## Properties
- DFT formation energy (eV/atom) = 0.49
- energy (eV/atom) = -5.1729
- Fermi-level density of states (states/eV/f.u.) = 2.41

=====

First-principles (PBEsol) data for an optimized crystal structure of AlTc2Ni, as listed in Alexandria.

Unit cell a=4.7607 b=4.7607 c=4.7607 alpha=135.49 beta=135.49 gamma=64.77
Closest atoms and distances in Å follow each position.
Atoms (fractional coordinates):
Al: 0.0000 0.0000 0.0000  4 Ni 2.55, 8 Tc 2.70
Tc: 0.2500 0.7500 0.5000  4 Tc 2.55, 4 Ni 2.70, 4 Al 2.70
Tc: 0.7500 0.2500 0.5000  4 Tc 2.55, 4 Ni 2.70, 4 Al 2.70
Ni: 0.5000 0.5000 0.0000  4 Al 2.55, 8 Tc 2.70

## Properties
- DFT formation energy (eV/atom) = -0.11
- energy (eV/atom) = -8.3043
- Fermi-level density of states (states/eV/f.u.) = 4.51

=====

First-principles (PBEsol) data for an optimized crystal structure of KSc2Ir, as listed in Alexandria.

Unit cell a=4.8302 b=4.8302 c=4.8302 alpha=60.00 beta=60.00 gamma=60.00
Closest atoms and distances in Å follow each position.
Atoms (fractional coordinates):
K: 0.0000 0.0000 0.0000  8 Sc 2.96
Sc: 0.2500 0.2500 0.2500  4 K 2.96, 4 Ir 2.96
Sc: 0.7500 0.7500 0.7500  4 Ir 2.96, 4 K 2.96
Ir: 0.5000 0.5000 0.5000  8 Sc 2.96

## Properties
- DFT formation energy (eV/atom) = 0.14
- energy (eV/atom) = -5.9055
- Fermi-level density of states (states/eV/f.u.) = 4.22

=====

First-principles (PBEsol) data for an optimized crystal structure of K6Ge2O7, as listed in Alexandria.

Unit cell a=6.5078 b=9.0588 c=11.1175 alpha=90.00 beta=123.99 gamma=90.00
Closest atoms and distances in Å follow each position.
Atoms (fractional coordinates):
K: 0.0000 0.0408 0.0000  6 O 2.70-3.01
K: 0.0000 0.9592 0.5000  6 O 2.70-3.01
K: 0.1930 0.4588 0.4414  5 O 2.68-2.86
K: 0.1930 0.5412 0.9414  5 O 2.68-2.86
K: 0.3894 0.2225 0.7636  4 O 2.58-2.66
K: 0.3894 0.7775 0.2636  4 O 2.58-2.66
K: 0.5470 0.3995 0.2952  5 O 2.67-2.91
K: 0.5470 0.6005 0.7952  5 O 2.67-2.91
K: 0.6460 0.1010 0.1459  5 O 2.66-2.91
K: 0.6460 0.8990 0.6459  5 O 2.66-2.91
K: 0.8044 0.2775 0.6777  4 O 2.58-2.66
K: 0.8044 0.7225 0.1777  4 O 2.58-2.66
Ge: 0.2830 0.1061 0.3521  4 O 1.75-1.82
Ge: 0.2830 0.8939 0.8521  4 O 1.75-1.82
Ge: 0.9098 0.3941 0.0892  4 O 1.75-1.82
Ge: 0.9098 0.6059 0.5892  4 O 1.75-1.82
O: 0.0863 0.0483 0.7855  1 Ge 1.76
O: 0.0863 0.9517 0.2855  1 Ge 1.76
O: 0.0939 0.2503 0.2216  2 Ge 1.82
O: 0.0939 0.7497 0.7216  2 Ge 1.82
O: 0.1077 0.4519 0.6558  1 Ge 1.76
O: 0.1077 0.5481 0.1558  1 Ge 1.76
O: 0.3525 0.1608 0.5224  1 Ge 1.75
O: 0.3525 0.8392 0.0224  1 Ge 1.75
O: 0.5485 0.0869 0.3484  1 Ge 1.76
O: 0.5485 0.9131 0.8484  1 Ge 1.76
O: 0.6427 0.4156 0.0910  1 Ge 1.76
O: 0.6427 0.5844 0.5910  1 Ge 1.76
O: 0.8425 0.3378 0.9199  1 Ge 1.75
O: 0.8425 0.6622 0.4199  1 Ge 1.75

## Properties
- energy (eV/atom) = -5.2928
- Fermi-level density of states (states/eV/f.u.) = 0.00
- E_form (uncorrected) (eV per atom) = -1.73